DFT (GGA-PBE) results for a geometry-optimized Mg2AlPd structure.

Formation energy from the elements: -351 meV per atom
Electronic total energy: -27.06 eV for the cell shown
Space group: C2/c
M_tot: 0.00 Bohr magnetons per cell

Structure (POSCAR):
```
Mg2AlPd
1.0
4.9156 -2.6059 0.0000
4.9156 2.6059 0.0000
-1.9135 0.0000 5.7340
Mg Al Pd
4 2 2
direct
0.2057 0.2308 0.1116
0.2308 0.2057 0.6116
0.7692 0.7943 0.3884
0.7943 0.7692 0.8884
0.2982 0.7018 0.7500
0.7018 0.2982 0.2500
0.2121 0.7879 0.2500
0.7879 0.2121 0.7500
```